(1)
Below is Th2Re2C3 after structural relaxation, with properties calculated at the GGA-PBE level.

The space group is C2/m (No. 12) and the conventional cell measures 12.180, 3.371 and 5.808 Å, with angles of 90.00, 115.02 and 90.00 degrees. The asymmetric unit holds Th at (0.106, 0.000, 0.306), Re at (0.156, 0.500, 0.826), C at (0.000, 0.500, 0.500) and C at (0.246, 0.000, 0.767).

The calculation puts the uncorrected energy at -138.3 eV/cell.

***

(2)
Below is U2Re2C3 after structural relaxation, with properties calculated at the GGA-PBE level.

The space group is C2/m (No. 12) and the conventional cell measures 11.563, 3.029 and 5.515 Å, with angles of 90.00, 104.49 and 90.00 degrees. The asymmetric unit holds U at (0.102, 0.000, 0.333), Re at (0.154, 0.500, 0.866), C at (0.000, 0.500, 0.000) and C at (0.250, 0.000, 0.739).

The calculation puts the uncorrected energy at -151.3 eV/cell.

***

(3)
Below is U5Re3C8 after structural relaxation, with properties calculated at the GGA-PBE level.

The space group is P4/mbm (No. 127) and the conventional cell measures 11.385, 11.385 and 3.233 Å, with angles of 90.00, 90.00 and 90.00 degrees. The asymmetric unit holds U at (0.000, 0.500, 0.000), U at (0.042, 0.228, 0.500), Re at (0.000, 0.000, 0.000), Re at (0.204, 0.704, 0.000), C at (0.098, 0.848, 0.000), C at (0.117, 0.617, 0.500) and C at (0.154, 0.346, 0.000).

The calculation puts the uncorrected energy at -340.6 eV/cell.

***

(4)
Below is Y2ReC2 after structural relaxation, with properties calculated at the GGA-PBE level.

The space group is Pnma (No. 62) and the conventional cell measures 6.591, 5.119 and 9.882 Å, with angles of 90.00, 90.00 and 90.00 degrees. The asymmetric unit holds Y at (0.032, 0.250, 0.216), Y at (0.180, 0.250, 0.556), Re at (0.222, 0.250, 0.865), C at (0.044, 0.750, 0.240) and C at (0.178, 0.750, 0.549).

The calculation puts the uncorrected energy at -183.4 eV/cell.

***

(5)
Below is Y2Re2C3 after structural relaxation, with properties calculated at the GGA-PBE level.

The space group is C2/m (No. 12) and the conventional cell measures 11.796, 3.290 and 5.686 Å, with angles of 90.00, 114.02 and 90.00 degrees. The asymmetric unit holds Y at (0.109, 0.000, 0.316), Re at (0.156, 0.500, 0.821), C at (0.000, 0.500, 0.500) and C at (0.248, 0.500, 0.231).

The calculation puts the uncorrected energy at -135.3 eV/cell.

***

(6)
Below is Ta4SbC2S after structural relaxation, with properties calculated at the GGA-PBE level.

The space group is P-6m2 (No. 187) and the conventional cell measures 3.3352, 3.3352 and 12.3048 Å, with angles of 90.00, 90.00 and 120.00 degrees. The asymmetric unit holds Ta at (0.0000, 0.0000, 0.1433), Ta at (0.3333, 0.6667, 0.3210), Sb at (0.0000, 0.0000, 0.5000), C at (0.6667, 0.3333, 0.2349) and S at (0.3333, 0.6667, 0.0000).

The calculation puts the uncorrected energy at -78.1 eV/cell.

***

(7)
Below is Ta4SbC2S after structural relaxation, with properties calculated at the GGA-PBE level.

The space group is P-6m2 (No. 187) and the conventional cell measures 3.3352, 3.3352 and 12.3048 Å, with angles of 90.00, 90.00 and 120.00 degrees. The asymmetric unit holds Ta at (0.0000, 0.0000, 0.1433), Ta at (0.6667, 0.3333, 0.3210), Sb at (0.0000, 0.0000, 0.5000), C at (0.3333, 0.6667, 0.2349) and S at (0.6667, 0.3333, 0.0000).

The calculation puts the uncorrected energy at -78.1 eV/cell.

***

(8)
Below is Zr4SbC2S after structural relaxation, with properties calculated at the GGA-PBE level.

The space group is P-6m2 (No. 187) and the conventional cell measures 3.4331, 3.4331 and 13.2231 Å, with angles of 90.00, 90.00 and 120.00 degrees. The asymmetric unit holds Zr at (0.0000, 0.0000, 0.1378), Zr at (0.3333, 0.6667, 0.3249), Sb at (0.0000, 0.0000, 0.5000), C at (0.6667, 0.3333, 0.2320) and S at (0.3333, 0.6667, 0.0000).

The calculation puts the uncorrected energy at -69.4 eV/cell.

***

(9)
Below is Zr4SbC2S after structural relaxation, with properties calculated at the GGA-PBE level.

The space group is P-6m2 (No. 187) and the conventional cell measures 3.4331, 3.4331 and 13.2231 Å, with angles of 90.00, 90.00 and 120.00 degrees. The asymmetric unit holds Zr at (0.0000, 0.0000, 0.1378), Zr at (0.6667, 0.3333, 0.3249), Sb at (0.0000, 0.0000, 0.5000), C at (0.3333, 0.6667, 0.2320) and S at (0.6667, 0.3333, 0.0000).

The calculation puts the uncorrected energy at -69.4 eV/cell.

***

(10)
Below is Sc2Ta4C3S3 after structural relaxation, with properties calculated at the GGA-PBE level.

The space group is C2/c (No. 15) and the conventional cell measures 9.952, 5.768 and 12.131 Å, with angles of 90.00, 105.76 and 90.00 degrees. The asymmetric unit holds Sc at (0.045, 0.081, 0.394), Ta at (0.115, 0.411, 0.593), Ta at (0.222, 0.420, 0.907), C at (0.084, 0.253, 0.000), C at (0.250, 0.250, 0.500), S at (0.000, 0.426, 0.250) and S at (0.172, 0.089, 0.751).

The calculation puts the uncorrected energy at -449.2 eV/cell.

***

(11)
Below is Tb3ScC2S2 after structural relaxation, with properties calculated at the GGA-PBE level.

The space group is P3m1 (No. 156) and the conventional cell measures 3.6624, 3.6624 and 12.7399 Å, with angles of 90.00, 90.00 and 120.00 degrees. The asymmetric unit holds Tb at (0.0000, 0.0000, 0.0000), Tb at (0.0000, 0.0000, 0.2989), Tb at (0.3333, 0.6667, 0.7848), Sc at (0.3333, 0.6667, 0.4999), C at (0.6667, 0.3333, 0.4043), C at (0.6667, 0.3333, 0.8919), S at (0.0000, 0.0000, 0.6331) and S at (0.3333, 0.6667, 0.1487).

The calculation puts the uncorrected energy at -56.7 eV/cell.

***

(12)
Below is TmSc3C2S2 after structural relaxation, with properties calculated at the GGA-PBE level.

The space group is P3m1 (No. 156) and the conventional cell measures 3.4990, 3.4990 and 12.1344 Å, with angles of 90.00, 90.00 and 120.00 degrees. The asymmetric unit holds Tm at (0.0000, 0.0000, 0.0000), Sc at (0.0000, 0.0000, 0.7003), Sc at (0.3333, 0.6667, 0.2106), Sc at (0.3333, 0.6667, 0.4997), C at (0.6667, 0.3333, 0.1093), C at (0.6667, 0.3333, 0.5999), S at (0.0000, 0.0000, 0.3551) and S at (0.3333, 0.6667, 0.8440).

The calculation puts the uncorrected energy at -60.6 eV/cell.

***

(13)
Below is Tm3ScC2S2 after structural relaxation, with properties calculated at the GGA-PBE level.

The space group is P3m1 (No. 156) and the conventional cell measures 3.5970, 3.5970 and 12.4910 Å, with angles of 90.00, 90.00 and 120.00 degrees. The asymmetric unit holds Tm at (0.0000, 0.0000, 0.0000), Tm at (0.0000, 0.0000, 0.2986), Tm at (0.3333, 0.6667, 0.7888), Sc at (0.3333, 0.6667, 0.5002), C at (0.6667, 0.3333, 0.4030), C at (0.6667, 0.3333, 0.8945), S at (0.0000, 0.0000, 0.6383) and S at (0.3333, 0.6667, 0.1494).

The calculation puts the uncorrected energy at -56.8 eV/cell.

***

(14)
Below is TmScCS after structural relaxation, with properties calculated at the GGA-PBE level.

The space group is P-6m2 (No. 187) and the conventional cell measures 3.5492, 3.5492 and 12.3115 Å, with angles of 90.00, 90.00 and 120.00 degrees. The asymmetric unit holds Tm at (0.0000, 0.0000, 0.1524), Sc at (0.3333, 0.6667, 0.3585), C at (0.6667, 0.3333, 0.2593), S at (0.0000, 0.0000, 0.5000) and S at (0.3333, 0.6667, 0.0000).

The calculation puts the uncorrected energy at -58.7 eV/cell.

***

(15)
Below is TmScCS after structural relaxation, with properties calculated at the GGA-PBE level.

The space group is P6_3mc (No. 186) and the conventional cell measures 3.5491, 3.5491 and 12.3146 Å, with angles of 90.00, 90.00 and 120.00 degrees. The asymmetric unit holds Tm at (0.3333, 0.6667, 0.0000), Sc at (0.3333, 0.6667, 0.7061), C at (0.0000, 0.0000, 0.1071) and S at (0.3333, 0.6667, 0.3472).

The calculation puts the uncorrected energy at -58.7 eV/cell.

***

(16)
Below is TmScCS after structural relaxation, with properties calculated at the GGA-PBE level.

The space group is P-3m1 (No. 164) and the conventional cell measures 3.5504, 3.5504 and 12.3092 Å, with angles of 90.00, 90.00 and 120.00 degrees. The asymmetric unit holds Tm at (0.3333, 0.6667, 0.3922), Sc at (0.3333, 0.6667, 0.0983), C at (0.0000, 0.0000, 0.0000), C at (0.0000, 0.0000, 0.5000) and S at (0.3333, 0.6667, 0.7605).

The calculation puts the uncorrected energy at -58.6 eV/cell.

***

(17)
Below is Sc2W4C3S3 after structural relaxation, with properties calculated at the GGA-PBE level.

The space group is C2/c (No. 15) and the conventional cell measures 9.857, 5.742 and 11.932 Å, with angles of 90.00, 105.33 and 90.00 degrees. The asymmetric unit holds Sc at (0.045, 0.081, 0.390), W at (0.110, 0.413, 0.586), W at (0.224, 0.422, 0.916), C at (0.085, 0.252, 0.000), C at (0.250, 0.250, 0.500), S at (0.000, 0.438, 0.250) and S at (0.177, 0.098, 0.748).

The calculation puts the uncorrected energy at -442.8 eV/cell.

***

(18)
Below is Sc4ZnC2S after structural relaxation, with properties calculated at the GGA-PBE level.

The space group is P-6m2 (No. 187) and the conventional cell measures 3.4004, 3.4004 and 13.0838 Å, with angles of 90.00, 90.00 and 120.00 degrees. The asymmetric unit holds Sc at (0.0000, 0.0000, 0.1349), Sc at (0.6667, 0.3333, 0.3214), Zn at (0.0000, 0.0000, 0.5000), C at (0.3333, 0.6667, 0.2311) and S at (0.6667, 0.3333, 0.0000).

The calculation puts the uncorrected energy at -55.8 eV/cell.

***

(19)
Below is Sc4ZnC2S after structural relaxation, with properties calculated at the GGA-PBE level.

The space group is P-6m2 (No. 187) and the conventional cell measures 3.4003, 3.4003 and 13.0819 Å, with angles of 90.00, 90.00 and 120.00 degrees. The asymmetric unit holds Sc at (0.0000, 0.0000, 0.1350), Sc at (0.3333, 0.6667, 0.3216), Zn at (0.0000, 0.0000, 0.5000), C at (0.6667, 0.3333, 0.2312) and S at (0.3333, 0.6667, 0.0000).

The calculation puts the uncorrected energy at -55.8 eV/cell.

***

(20)
Below is ZrSc3C2S2 after structural relaxation, with properties calculated at the GGA-PBE level.

The space group is P3m1 (No. 156) and the conventional cell measures 3.4423, 3.4423 and 12.0141 Å, with angles of 90.00, 90.00 and 120.00 degrees. The asymmetric unit holds Zr at (0.0000, 0.0000, 0.0000), Sc at (0.0000, 0.0000, 0.2997), Sc at (0.6667, 0.3333, 0.5019), Sc at (0.6667, 0.3333, 0.7928), C at (0.3333, 0.6667, 0.3985), C at (0.3333, 0.6667, 0.8993), S at (0.0000, 0.0000, 0.6484) and S at (0.6667, 0.3333, 0.1489).

The calculation puts the uncorrected energy at -64.8 eV/cell.